# BaSmWO6, optimized geometry, DFT PBE with a Hubbard U
data_BaSmWO6
_chemical_formula_sum 'Ba1 Sm1 W1 O6'
_cell_length_a 5.7992
_cell_length_b 5.7992
_cell_length_c 5.5535
_cell_angle_alpha 90.00
_cell_angle_beta 90.00
_cell_angle_gamma 120.00
_symmetry_space_group_name_H-M 'P 3 1 2'
_symmetry_Int_Tables_number 149
loop_
_symmetry_equiv_pos_as_xyz
'x,y,z'
'-y,x-y,z'
'-x+y,-x,z'
'-y,-x,-z'
'-x+y,y,-z'
'x,x-y,-z'
loop_
_atom_site_label
_atom_site_fract_x
_atom_site_fract_y
_atom_site_fract_z
_atom_site_occupancy
Ba1 0.0000 0.0000 0.0000 1
Sm1 0.3333 0.6667 0.5000 1
W1 0.6667 0.3333 0.5000 1
O1 0.4003 0.0460 0.7005 1
# VASP energy (eV per atom): -7.310